The following is a DFT calculation (PBE) of an optimized crystal structure of Ga13Rh2.

Cell lengths 5.3512, 6.6767, 7.9343 Å; angles 75.76, 82.37, 89.69 degrees
With the nearest neighbours (Å) after each atom.
Space group P-1 (No. 2)
Unique sites:
Ga1 0.0000 0.0000 0.0000  2 Rh 2.49, 2 Ga 2.78
Ga2 0.0459 0.2062 0.3872  2 Rh 2.58-2.59, 3 Ga 2.64-2.71
Ga3 0.2235 0.4745 0.0925  7 Ga 2.64-2.94
Ga4 0.2428 0.7615 0.2833  1 Rh 2.62, 5 Ga 2.73-2.92
Ga5 0.2667 0.4284 0.7512  1 Rh 2.52, 2 Ga 2.57-2.78
Ga6 0.4591 0.7825 0.5743  2 Rh 2.55-2.68, 5 Ga 2.57-2.79
Ga7 0.4702 0.8508 0.9059  1 Rh 2.58, 5 Ga 2.71-2.82
Rh1 0.2051 0.0808 0.6894  8 Ga 2.49-2.68

***

The following is a DFT calculation (PBE) of an optimized crystal structure of Pm5MgGa4.

Cell lengths 3.6830, 3.6830, 18.8186 Å; angles 90.00, 90.00, 90.00 degrees
With the nearest neighbours (Å) after each atom.
Space group P4/mmm (No. 123)
Unique sites:
Pm1 0.0000 0.0000 0.0000  8 Ga 3.18
Pm2 0.0000 0.0000 0.1940  8 Ga 3.18-3.22
Pm3 0.0000 0.0000 0.3875  4 Ga 3.14, 4 Mg 3.36
Mg1 0.5000 0.5000 0.5000  8 Pm 3.36, 4 Mg 3.68
Ga1 0.5000 0.5000 0.0969  8 Pm 3.18
Ga2 0.5000 0.5000 0.2944  8 Pm 3.14-3.22

***

The following is a DFT calculation (PBE) of an optimized crystal structure of Ho2Al4PdAu3.

Cell lengths 4.2734, 4.2734, 10.6187 Å; angles 90.00, 90.00, 90.00 degrees
With the nearest neighbours (Å) after each atom.
Space group P-4m2 (No. 115)
Unique sites:
Ho1 0.0000 0.5000 0.2485  6 Au 3.25-3.40, 8 Al 3.28-3.42, 2 Pd 3.40
Al1 0.0000 0.0000 0.5000  4 Au 2.59
Al2 0.0000 0.5000 0.8716  3 Au 2.48-2.53, 2 Pd 2.53
Al3 0.5000 0.5000 0.5000  4 Au 2.59
Pd1 0.5000 0.5000 0.0000  4 Al 2.53
Au1 0.0000 0.0000 0.0000  4 Al 2.53
Au2 0.0000 0.5000 0.6382  5 Al 2.48-2.59

***

| no. | energy of formation from the pure elements (eV/atom) |
| --- | --- |
| 1 | -0.192 |
| 2 | -0.472 |
| 3 | -0.744 |